# 1
CuSe2Cl | PBEsol | optimized geometry

a b c (Å): 3.2940 3.2940 6.8080
angles (deg): 90.00 90.00 90.00
With the nearest neighbours (Å) after each atom.
Element x y z (fractional)
Cu 0.0000 0.0000 0.0000  8 Se 2.63
Se 0.5000 0.5000 0.1799  1 Se 2.45, 4 Cu 2.63
Se 0.5000 0.5000 0.8201  1 Se 2.45, 4 Cu 2.63
Cl 0.0000 0.0000 0.5000  8 Se 3.19, 4 Cl 3.29, 2 Cu 3.40

Computed properties:
Raw formation energy, meV per atom: 140
Calculated volume, Å³/cell: 73.87
Polymorph energy (0 for the lowest one), meV/atom: 404
DFT total energy, eV for the cell shown: -13.48
DOS(E_F), states/eV/cell: 1.96


# 2
LaZrCo2 | PBEsol | optimized geometry

a b c (Å): 3.1962 3.1962 6.8499
angles (deg): 90.00 90.00 90.00
With the nearest neighbours (Å) after each atom.
Element x y z (fractional)
La 0.0000 0.0000 0.0000  8 Co 3.04, 4 La 3.20
Zr 0.0000 0.0000 0.5000  8 Co 2.65
Co 0.5000 0.5000 0.2972  4 Zr 2.65, 1 Co 2.78
Co 0.5000 0.5000 0.7028  4 Zr 2.65, 1 Co 2.78

Computed properties:
Calculated volume, Å³/cell: 69.98
DFT total energy, eV for the cell shown: -30.37
DOS(E_F), states/eV/cell: 3.73


# 3
Ba2IrCl | PBEsol | optimized geometry

a b c (Å): 5.3459 5.3459 5.3459
angles (deg): 60.00 60.00 60.00
With the nearest neighbours (Å) after each atom.
Element x y z (fractional)
Ba 0.2500 0.2500 0.2500  4 Cl 3.27, 4 Ir 3.27
Ba 0.7500 0.7500 0.7500  4 Cl 3.27, 4 Ir 3.27
Ir 0.0000 0.0000 0.0000  8 Ba 3.27
Cl 0.5000 0.5000 0.5000  8 Ba 3.27

Computed properties:
Raw formation energy, meV per atom: -783
Calculated volume, Å³/cell: 108.03
Polymorph energy (0 for the lowest one), meV/atom: 99
DFT total energy, eV for the cell shown: -19.26


# 4
Mg2NiHgGe | PBEsol | optimized geometry

a b c (Å): 4.8979 4.8979 4.3021
angles (deg): 90.00 90.00 90.00
With the nearest neighbours (Å) after each atom.
Element x y z (fractional)
Mg 0.0000 0.5000 0.0000  2 Ni 2.45
Mg 0.5000 0.0000 0.0000  2 Ni 2.45
Ni 0.0000 0.0000 0.0000  2 Ge 2.15
Hg 0.5000 0.5000 0.5000  8 Mg 3.26, 4 Ge 3.46
Ge 0.0000 0.0000 0.5000  2 Ni 2.15

Computed properties:
Calculated volume, Å³/cell: 103.21
DFT total energy, eV for the cell shown: -15.73
DOS(E_F), states/eV/cell: 1.55


# 5
In5Cl9 | PBEsol | optimized geometry

a b c (Å): 9.0844 9.0844 9.0844
angles (deg): 84.21 84.21 84.21
With the nearest neighbours (Å) after each atom.
Element x y z (fractional)
In 0.0621 0.7500 0.4379  8 Cl 3.26-3.56
In 0.1455 0.1455 0.1455  6 Cl 2.43-2.64
In 0.2500 0.5621 0.9379  8 Cl 3.26-3.56
In 0.3545 0.3545 0.3545  6 Cl 2.43-2.64
In 0.4379 0.0621 0.7500  8 Cl 3.26-3.56
In 0.5621 0.9379 0.2500  8 Cl 3.26-3.56
In 0.6455 0.6455 0.6455  6 Cl 2.43-2.64
In 0.7500 0.4379 0.0621  8 Cl 3.26-3.56
In 0.8545 0.8545 0.8545  6 Cl 2.43-2.64
In 0.9379 0.2500 0.5621  8 Cl 3.26-3.56
Cl 0.0729 0.2726 0.9126  1 In 2.43
Cl 0.0874 0.9271 0.7274  1 In 2.43
Cl 0.0913 0.4087 0.2500  2 In 2.64
Cl 0.2274 0.4271 0.5874  1 In 2.43
Cl 0.2500 0.0913 0.4087  2 In 2.64
Cl 0.2726 0.9126 0.0729  1 In 2.43
Cl 0.4087 0.2500 0.0913  2 In 2.64
Cl 0.4126 0.7726 0.5729  1 In 2.43
Cl 0.4271 0.5874 0.2274  1 In 2.43
Cl 0.5729 0.4126 0.7726  1 In 2.43
Cl 0.5874 0.2274 0.4271  1 In 2.43
Cl 0.5913 0.7500 0.9087  2 In 2.64
Cl 0.7274 0.0874 0.9271  1 In 2.43
Cl 0.7500 0.9087 0.5913  2 In 2.64
Cl 0.7726 0.5729 0.4126  1 In 2.43
Cl 0.9087 0.5913 0.7500  2 In 2.64
Cl 0.9126 0.0729 0.2726  1 In 2.43
Cl 0.9271 0.7274 0.0874  1 In 2.43

Computed properties:
Raw formation energy, meV per atom: -935
Calculated volume, Å³/cell: 738.95
DFT total energy, eV for the cell shown: -92.14
DOS(E_F), states/eV/cell: 0.00


# 6
AgP2Pb2 | PBEsol | optimized geometry

a b c (Å): 9.6440 9.6440 9.6440
angles (deg): 159.75 159.75 28.80
With the nearest neighbours (Å) after each atom.
Element x y z (fractional)
Ag 0.0000 0.0000 0.0000  8 Pb 3.09, 4 Ag 3.39
P 0.2500 0.7500 0.5000  4 P 2.40
P 0.7500 0.2500 0.5000  4 P 2.40
Pb 0.3957 0.3957 0.0000  4 Ag 3.09, 4 P 3.21, 4 Pb 3.39
Pb 0.6043 0.6043 0.0000  4 Ag 3.09, 4 P 3.21, 4 Pb 3.39

Computed properties:
Calculated volume, Å³/cell: 107.44
DFT total energy, eV for the cell shown: -21.94
DOS(E_F), states/eV/cell: 2.85


# 7
CsLiMo2P | PBEsol | optimized geometry

a b c (Å): 4.9917 4.9917 5.4268
angles (deg): 90.00 90.00 90.00
With the nearest neighbours (Å) after each atom.
Element x y z (fractional)
Cs 0.0000 0.0000 0.0000  4 Mo 2.50, 2 P 2.71
Li 0.5000 0.5000 0.5000  4 P 3.53, 8 Mo 3.69
Mo 0.0000 0.5000 0.0000  2 Cs 2.50
Mo 0.5000 0.0000 0.0000  2 Cs 2.50
P 0.0000 0.0000 0.5000  2 Cs 2.71

Computed properties:
Calculated volume, Å³/cell: 135.22
DFT total energy, eV for the cell shown: -17.80
DOS(E_F), states/eV/cell: 5.23


# 8
KBe2Cr | PBEsol | optimized geometry

a b c (Å): 9.0977 9.0977 9.0977
angles (deg): 151.25 151.25 41.11
With the nearest neighbours (Å) after each atom.
Element x y z (fractional)
K 0.3750 0.6250 0.7500  4 Cr 3.19, 8 Be 3.30
K 0.6250 0.3750 0.2500  4 Cr 3.19, 8 Be 3.30
Be 0.0000 0.0000 0.0000  2 Be 2.26, 2 Cr 2.41
Be 0.0000 0.0000 0.5000  2 Be 2.26, 2 Cr 2.41
Be 0.0000 0.5000 0.0000  2 Be 2.26, 2 Cr 2.41
Be 0.5000 0.0000 0.5000  2 Be 2.26, 2 Cr 2.41
Cr 0.1250 0.8750 0.2500  4 Be 2.41
Cr 0.8750 0.1250 0.7500  4 Be 2.41

Computed properties:
Calculated volume, Å³/cell: 173.83
Polymorph energy (0 for the lowest one), meV/atom: 0
DFT total energy, eV for the cell shown: -29.37
DOS(E_F), states/eV/cell: 4.75


# 9
KMgSc3 | PBEsol | optimized geometry

a b c (Å): 4.9589 4.9589 4.9589
angles (deg): 90.00 90.00 90.00
With the nearest neighbours (Å) after each atom.
Element x y z (fractional)
K 0.0000 0.0000 0.0000  6 Sc 2.48
Mg 0.5000 0.5000 0.5000  12 Sc 3.51
Sc 0.0000 0.0000 0.5000  2 K 2.48
Sc 0.0000 0.5000 0.0000  2 K 2.48
Sc 0.5000 0.0000 0.0000  2 K 2.48

Computed properties:
Calculated volume, Å³/cell: 121.94
Polymorph energy (0 for the lowest one), meV/atom: 366
DFT total energy, eV for the cell shown: -16.59
DOS(E_F), states/eV/cell: 3.15


# 10
MnCr2Pt | PBEsol | optimized geometry

a b c (Å): 4.4958 4.4958 4.4958
angles (deg): 132.54 132.54 69.38
With the nearest neighbours (Å) after each atom.
Element x y z (fractional)
Mn 0.0000 0.0000 0.0000  4 Pt 2.56, 8 Cr 2.59
Cr 0.2500 0.7500 0.5000  4 Cr 2.56, 4 Mn 2.59, 4 Pt 2.59
Cr 0.7500 0.2500 0.5000  4 Cr 2.56, 4 Mn 2.59, 4 Pt 2.59
Pt 0.5000 0.5000 0.0000  4 Mn 2.56, 8 Cr 2.59

Computed properties:
Calculated volume, Å³/cell: 48.41
DFT total energy, eV for the cell shown: -37.34
DOS(E_F), states/eV/cell: 4.04


# 11
MgMnF6 | PBEsol | optimized geometry

a b c (Å): 5.2507 5.2507 5.2507
angles (deg): 56.81 56.81 56.81
With the nearest neighbours (Å) after each atom.
Element x y z (fractional)
Mg 0.0000 0.0000 0.0000  6 F 1.99
Mn 0.5000 0.5000 0.5000  6 F 1.81
F 0.1485 0.3780 0.7352  1 Mn 1.81, 1 Mg 1.99
F 0.2648 0.8515 0.6220  1 Mn 1.81, 1 Mg 1.99
F 0.3780 0.7352 0.1485  1 Mn 1.81, 1 Mg 1.99
F 0.6220 0.2648 0.8515  1 Mn 1.81, 1 Mg 1.99
F 0.7352 0.1485 0.3780  1 Mn 1.81, 1 Mg 1.99
F 0.8515 0.6220 0.2648  1 Mn 1.81, 1 Mg 1.99

Computed properties:
Raw formation energy, meV per atom: -2791
Calculated volume, Å³/cell: 94.83
DFT total energy, eV for the cell shown: -45.37
DOS(E_F), states/eV/cell: 0.00


# 12
Zn2FeRh | PBEsol | optimized geometry

a b c (Å): 4.4675 4.4675 4.4675
angles (deg): 129.95 129.95 73.49
With the nearest neighbours (Å) after each atom.
Element x y z (fractional)
Zn 0.0000 0.0000 0.0000  4 Rh 2.60, 4 Zn 2.60, 4 Fe 2.67
Zn 0.7500 0.2500 0.5000  4 Fe 2.60, 4 Zn 2.60, 4 Rh 2.67
Fe 0.5000 0.5000 0.0000  4 Rh 2.60, 8 Zn 2.60-2.67
Rh 0.2500 0.7500 0.5000  4 Fe 2.60, 8 Zn 2.60-2.67

Computed properties:
Calculated volume, Å³/cell: 51.15
DFT total energy, eV for the cell shown: -20.77
DOS(E_F), states/eV/cell: 1.60


# 13
Sc3Cu | PBEsol | optimized geometry

a b c (Å): 6.1510 8.6783 6.0292
angles (deg): 90.00 90.00 90.00
With the nearest neighbours (Å) after each atom.
Element x y z (fractional)
Sc 0.0114 0.2500 0.1066  2 Cu 2.54-2.78
Sc 0.2122 0.0536 0.7103  2 Cu 2.62-2.75
Sc 0.2122 0.4464 0.7103  2 Cu 2.62-2.75
Sc 0.2878 0.5536 0.2103  2 Cu 2.62-2.75
Sc 0.2878 0.9464 0.2103  2 Cu 2.62-2.75
Sc 0.4886 0.7500 0.6066  2 Cu 2.54-2.78
Sc 0.5114 0.2500 0.3934  2 Cu 2.54-2.78
Sc 0.7122 0.0536 0.7897  2 Cu 2.62-2.75
Sc 0.7122 0.4464 0.7897  2 Cu 2.62-2.75
Sc 0.7878 0.5536 0.2897  2 Cu 2.62-2.75
Sc 0.7878 0.9464 0.2897  2 Cu 2.62-2.75
Sc 0.9886 0.7500 0.8934  2 Cu 2.54-2.78
Cu 0.0540 0.7500 0.4775  6 Sc 2.54-2.78
Cu 0.4460 0.2500 0.9775  6 Sc 2.54-2.78
Cu 0.5540 0.7500 0.0225  6 Sc 2.54-2.78
Cu 0.9460 0.2500 0.5225  6 Sc 2.54-2.78

Computed properties:
Calculated volume, Å³/cell: 321.84
Polymorph energy (0 for the lowest one), meV/atom: 0
DFT total energy, eV for the cell shown: -98.71
DOS(E_F), states/eV/cell: 10.07


# 14
CaGe2 | PBEsol | optimized geometry

a b c (Å): 3.9776 3.9776 10.0368
angles (deg): 90.00 90.00 120.00
With the nearest neighbours (Å) after each atom.
Element x y z (fractional)
Ca 0.3333 0.6667 0.0000  7 Ge 2.96-3.15
Ca 0.6667 0.3333 0.5000  7 Ge 2.96-3.15
Ge 0.0000 0.0000 0.2930  3 Ge 2.53
Ge 0.0000 0.0000 0.7930  3 Ge 2.53
Ge 0.3333 0.6667 0.6864  3 Ge 2.53
Ge 0.6667 0.3333 0.1864  3 Ge 2.53

Computed properties:
Calculated volume, Å³/cell: 137.52
DFT total energy, eV for the cell shown: -27.13
DOS(E_F), states/eV/cell: 0.57


# 15
BaTc2Br | PBEsol | optimized geometry

a b c (Å): 3.4827 3.4827 7.8572
angles (deg): 90.00 90.00 90.00
With the nearest neighbours (Å) after each atom.
Element x y z (fractional)
Ba 0.0000 0.0000 0.0000  1 Tc 3.00, 4 Br 3.18
Tc 0.0000 0.0000 0.6183  4 Tc 2.48
Tc 0.5000 0.5000 0.5868  4 Tc 2.48, 1 Br 2.60
Br 0.5000 0.5000 0.2557  1 Tc 2.60

Computed properties:
Raw formation energy, meV per atom: 298
Calculated volume, Å³/cell: 95.30
Polymorph energy (0 for the lowest one), meV/atom: 0
DFT total energy, eV for the cell shown: -25.36
DOS(E_F), states/eV/cell: 2.54


# 16
ReTcAu2 | PBEsol | optimized geometry

a b c (Å): 4.4391 4.4391 4.4391
angles (deg): 60.00 60.00 60.00
With the nearest neighbours (Å) after each atom.
Element x y z (fractional)
Re 0.0000 0.0000 0.0000  8 Au 2.72
Tc 0.5000 0.5000 0.5000  8 Au 2.72
Au 0.2500 0.2500 0.2500  4 Tc 2.72, 4 Re 2.72
Au 0.7500 0.7500 0.7500  4 Tc 2.72, 4 Re 2.72

Computed properties:
Calculated volume, Å³/cell: 61.85
Polymorph energy (0 for the lowest one), meV/atom: 532
DFT total energy, eV for the cell shown: -29.61
DOS(E_F), states/eV/cell: 4.07


# 17
Cd2HgAs2 | PBEsol | optimized geometry

a b c (Å): 5.9816 5.9816 5.9816
angles (deg): 131.40 131.40 71.18
With the nearest neighbours (Å) after each atom.
Element x y z (fractional)
Cd 0.2500 0.7500 0.5000  4 As 2.75
Cd 0.7500 0.2500 0.5000  4 As 2.75
Hg 0.0000 0.0000 0.0000  8 Cd 3.46, 10 As 3.65-3.69
As 0.3754 0.3754 0.0000  1 As 2.43
As 0.6246 0.6246 0.0000  1 As 2.43

Computed properties:
Calculated volume, Å³/cell: 117.90
DFT total energy, eV for the cell shown: -12.94
DOS(E_F), states/eV/cell: 0.68


# 18
In3IrCl | PBEsol | optimized geometry

a b c (Å): 5.1115 5.1115 5.1115
angles (deg): 90.00 90.00 90.00
With the nearest neighbours (Å) after each atom.
Element x y z (fractional)
In 0.0000 0.0000 0.5000  2 Ir 2.56
In 0.0000 0.5000 0.0000  2 Ir 2.56
In 0.5000 0.0000 0.0000  2 Ir 2.56
Ir 0.0000 0.0000 0.0000  6 In 2.56
Cl 0.5000 0.5000 0.5000  12 In 3.61

Computed properties:
Raw formation energy, meV per atom: -375
Calculated volume, Å³/cell: 133.55
Polymorph energy (0 for the lowest one), meV/atom: 8
DFT total energy, eV for the cell shown: -22.65
DOS(E_F), states/eV/cell: 1.84


# 19
K2CoIr | PBEsol | optimized geometry

a b c (Å): 11.0120 11.0120 11.0120
angles (deg): 14.58 14.58 14.58
With the nearest neighbours (Å) after each atom.
Element x y z (fractional)
K 0.2492 0.2492 0.2492  6 K 2.80
K 0.7508 0.7508 0.7508  6 K 2.80
Co 0.0000 0.0000 0.0000  6 Co 2.80
Ir 0.5000 0.5000 0.5000  6 Ir 2.80

Computed properties:
Calculated volume, Å³/cell: 73.72
Polymorph energy (0 for the lowest one), meV/atom: 545
DFT total energy, eV for the cell shown: -15.40
DOS(E_F), states/eV/cell: 3.27


# 20
Ag5Pb | PBEsol | optimized geometry

a b c (Å): 3.2947 3.2947 10.2845
angles (deg): 90.00 90.00 90.00
With the nearest neighbours (Å) after each atom.
Element x y z (fractional)
Ag 0.0000 0.0000 0.0000  10 Ag 2.79-3.09
Ag 0.0000 0.0000 0.3000  5 Ag 2.80-3.09, 4 Pb 3.11
Ag 0.0000 0.0000 0.7000  5 Ag 2.80-3.09, 4 Pb 3.11
Ag 0.5000 0.5000 0.1492  9 Ag 2.79-3.07
Ag 0.5000 0.5000 0.8508  9 Ag 2.79-3.07
Pb 0.5000 0.5000 0.5000  8 Ag 3.11, 4 Pb 3.29

Computed properties:
Calculated volume, Å³/cell: 111.64
Polymorph energy (0 for the lowest one), meV/atom: 8
DFT total energy, eV for the cell shown: -20.17
DOS(E_F), states/eV/cell: 1.33